The following is a DFT calculation (PBE-GGA) of crystalline Li2AlCoGe at its relaxed geometry.

Unit cell a=4.7428 b=4.7428 c=4.7454 alpha=90.00 beta=90.00 gamma=90.00
Last column: nearest neighbours and their distance in Å.
Space group P4/mmm (No. 123)
Asymmetric unit:
1 Li 0.0000 0.5000 0.0000 x2  2 Al 2.37
2 Al 0.0000 0.0000 0.0000 x1  4 Li 2.37, 2 Ge 2.37
3 Co 0.5000 0.5000 0.5000 x1  4 Ge 3.35, 8 Li 3.35
4 Ge 0.0000 0.0000 0.5000 x1  2 Al 2.37

Computed properties:
The calculation puts the magnetic moment at 2.11 μB/f.u. The calculation puts the total energy at -14.75 eV for the cell shown. The density comes out at 2.68 g/cm³. The formation energy comes out at 0.91 eV/atom. Its density of states at the Fermi level is 3.25 states/eV per cell.